Compound: Ce2Np3UN6
Source: the Alexandria database
Functional: PBE-GGA
Structure: relaxed

a = 6.0268 Å, b = 6.0268 Å, c = 6.0391 Å
α = 99.57°, β = 99.57°, γ = 119.95°
With the nearest neighbours (Å) after each atom.
Fractional coordinates of all 12 atoms:
Ce1 0.3337 0.6663 0.0000  6 N 2.54
Ce2 0.6663 0.3337 0.0000  6 N 2.54
N1 0.0858 0.4013 0.2579  3 Np 2.40-2.51, 1 U 2.40, 2 Ce 2.54
N2 0.5987 0.9142 0.7421  3 Np 2.40-2.51, 1 U 2.40, 2 Ce 2.54
N3 0.2284 0.2284 0.7387  3 Np 2.40-2.52, 1 U 2.42, 2 Ce 2.54
N4 0.4013 0.0858 0.2579  3 Np 2.40-2.51, 1 U 2.40, 2 Ce 2.54
N5 0.9142 0.5987 0.7421  3 Np 2.40-2.51, 1 U 2.40, 2 Ce 2.54
N6 0.7716 0.7716 0.2613  3 Np 2.40-2.52, 1 U 2.42, 2 Ce 2.54
Np1 0.1692 0.8308 0.5000  6 N 2.40-2.51
Np2 0.5000 0.5000 0.5000  6 N 2.40-2.52
Np3 0.8308 0.1692 0.5000  6 N 2.40-2.51
U1 0.0000 0.0000 0.0000  6 N 2.40-2.42

Properties
D(E_F) = 2.164 states/eV per atom
DFT total energy = -10.602 eV per atom
Magnetization = 11.11 Bohr magnetons per cell